Entry from Alexandria via LeMat-Bulk: a relaxed structure of SrIn2Te (PBE).

The structure in CIF format:
```
data_SrIn2Te
_chemical_formula_sum 'Sr2 In4 Te2'
_space_group_name_H-M_alt 'C 1 2/m 1'
_space_group_IT_number 12
_space_group_name_Hall '-C 2y'
_cell_length_a 6.4872
_cell_length_b 12.6728
_cell_length_c 4.5834
_cell_angle_alpha 90.00
_cell_angle_beta 134.73
_cell_angle_gamma 90.00
loop_
_atom_site_label
_atom_site_fract_x
_atom_site_fract_y
_atom_site_fract_z
_atom_site_occupancy
Sr1 0.0000 0.0000 0.0000 1
In1 0.2500 0.2500 0.5000 1
Te1 0.0000 0.5000 0.0000 1
```

Output
M_tot (μB/cell): 0.0
Fermi-level density of states (states/eV/f.u.): 1.49
Formation energy (no corrections) (eV per formula unit): -2.459
Final energy (eV per atom): -3.190


Entry from Alexandria via LeMat-Bulk: a relaxed structure of SrInTe2 (PBE).

The structure in CIF format:
```
data_SrInTe2
_chemical_formula_sum 'Sr1 In1 Te2'
_space_group_name_H-M_alt 'P 1 2/m 1'
_space_group_IT_number 10
_space_group_name_Hall '-P 2y'
_cell_length_a 4.3116
_cell_length_b 4.3121
_cell_length_c 6.9893
_cell_angle_alpha 90.00
_cell_angle_beta 90.05
_cell_angle_gamma 90.00
loop_
_atom_site_label
_atom_site_fract_x
_atom_site_fract_y
_atom_site_fract_z
_atom_site_occupancy
Sr1 0.0000 0.0000 0.0000 1
In1 0.0000 0.0000 0.5000 1
Te1 0.5000 0.5000 0.2449 1
```

Output
M_tot (μB/cell): 0.0
Fermi-level density of states (states/eV/f.u.): 2.11
Formation energy (no corrections) (eV per formula unit): -3.161
Final energy (eV per atom): -3.466


Entry from Alexandria via LeMat-Bulk: a relaxed structure of Sr2TlInTe5 (PBE).

The structure in CIF format:
```
data_Sr2TlInTe5
_chemical_formula_sum 'Sr8 Tl4 In4 Te20'
_space_group_name_H-M_alt 'C m c 21'
_space_group_IT_number 36
_space_group_name_Hall 'C 2c -2'
_cell_length_a 4.5157
_cell_length_b 20.7891
_cell_length_c 13.7281
_cell_angle_alpha 90.00
_cell_angle_beta 90.00
_cell_angle_gamma 90.00
loop_
_atom_site_label
_atom_site_fract_x
_atom_site_fract_y
_atom_site_fract_z
_atom_site_occupancy
Sr1 0.0000 0.0972 0.0000 1
Sr2 0.0000 0.1228 0.6515 1
Tl1 0.0000 0.2374 0.3896 1
In1 0.0000 0.4248 0.7911 1
Te1 0.0000 0.0572 0.4140 1
Te2 0.0000 0.2589 0.0522 1
Te3 0.0000 0.2898 0.7346 1
Te4 0.0000 0.3780 0.3318 1
Te5 0.0000 0.4946 0.6174 1
```

Output
M_tot (μB/cell): 0.0
Fermi-level density of states (states/eV/f.u.): 1.40
Formation energy (no corrections) (eV per formula unit): -7.509
Final energy (eV per atom): -3.521


Entry from Alexandria via LeMat-Bulk: a relaxed structure of SrTl2In2Te4 (PBE).

The structure in CIF format:
```
data_SrTl2In2Te4
_chemical_formula_sum 'Sr2 Tl4 In4 Te8'
_space_group_name_H-M_alt 'C 1 2/m 1'
_space_group_IT_number 12
_space_group_name_Hall '-C 2y'
_cell_length_a 16.5681
_cell_length_b 5.3989
_cell_length_c 7.8421
_cell_angle_alpha 90.00
_cell_angle_beta 107.96
_cell_angle_gamma 90.00
loop_
_atom_site_label
_atom_site_fract_x
_atom_site_fract_y
_atom_site_fract_z
_atom_site_occupancy
Sr1 0.0000 0.0000 0.0000 1
Tl1 0.1267 0.0000 0.5779 1
In1 0.1760 0.5000 0.0527 1
Te1 0.0237 0.5000 0.7479 1
Te2 0.2124 0.0000 0.2085 1
```

Output
M_tot (μB/cell): 0.0
Fermi-level density of states (states/eV/f.u.): 1.39
Formation energy (no corrections) (eV per formula unit): -4.722
Final energy (eV per atom): -3.242


Entry from Alexandria via LeMat-Bulk: a relaxed structure of Sr2UInTe5 (PBE).

The structure in CIF format:
```
data_Sr2UInTe5
_chemical_formula_sum 'Sr8 U4 In4 Te20'
_space_group_name_H-M_alt 'C m c 21'
_space_group_IT_number 36
_space_group_name_Hall 'C 2c -2'
_cell_length_a 4.4950
_cell_length_b 20.0105
_cell_length_c 13.9756
_cell_angle_alpha 90.00
_cell_angle_beta 90.00
_cell_angle_gamma 90.00
loop_
_atom_site_label
_atom_site_fract_x
_atom_site_fract_y
_atom_site_fract_z
_atom_site_occupancy
Sr1 0.0000 0.1179 0.0000 1
Sr2 0.0000 0.1276 0.6380 1
U1 0.0000 0.2061 0.3370 1
In1 0.0000 0.4438 0.7651 1
Te1 0.0000 0.0473 0.3894 1
Te2 0.0000 0.2914 0.9901 1
Te3 0.0000 0.3084 0.6775 1
Te4 0.0000 0.3599 0.3218 1
Te5 0.0000 0.4971 0.0848 1
```

Output
M_tot (μB/cell): 11.4
Fermi-level density of states (states/eV/f.u.): 4.54
Formation energy (no corrections) (eV per formula unit): -8.918
Final energy (eV per atom): -4.669


Entry from Alexandria via LeMat-Bulk: a relaxed structure of Sr2YInTe5 (PBE).

The structure in CIF format:
```
data_Sr2YInTe5
_chemical_formula_sum 'Sr8 Y4 In4 Te20'
_space_group_name_H-M_alt 'C m c 21'
_space_group_IT_number 36
_space_group_name_Hall 'C 2c -2'
_cell_length_a 4.4717
_cell_length_b 20.0575
_cell_length_c 13.9880
_cell_angle_alpha 90.00
_cell_angle_beta 90.00
_cell_angle_gamma 90.00
loop_
_atom_site_label
_atom_site_fract_x
_atom_site_fract_y
_atom_site_fract_z
_atom_site_occupancy
Sr1 0.0000 0.1184 0.0000 1
Sr2 0.0000 0.1299 0.6390 1
Y1 0.0000 0.2093 0.3416 1
In1 0.0000 0.4436 0.7605 1
Te1 0.0000 0.0496 0.3838 1
Te2 0.0000 0.2891 0.9915 1
Te3 0.0000 0.3092 0.6833 1
Te4 0.0000 0.3594 0.3226 1
Te5 0.0000 0.4956 0.0842 1
```

Output
M_tot (μB/cell): 0.0
Formation energy (no corrections) (eV per formula unit): -11.202
Final energy (eV per atom): -4.386


Entry from Alexandria via LeMat-Bulk: a relaxed structure of SrThIn2 (PBE).

The structure in CIF format:
```
data_SrThIn2
_chemical_formula_sum 'Sr1 Th1 In2'
_space_group_name_H-M_alt 'P 4/m m m'
_space_group_IT_number 123
_space_group_name_Hall '-P 4 2'
_cell_length_a 3.6108
_cell_length_b 3.6108
_cell_length_c 9.3546
_cell_angle_alpha 90.00
_cell_angle_beta 90.00
_cell_angle_gamma 90.00
loop_
_atom_site_label
_atom_site_fract_x
_atom_site_fract_y
_atom_site_fract_z
_atom_site_occupancy
Sr1 0.0000 0.0000 0.0000 1
Th1 0.0000 0.0000 0.5000 1
In1 0.5000 0.5000 0.2585 1
```

Output
M_tot (μB/cell): 0.0
Fermi-level density of states (states/eV/f.u.): 4.14
Energy of formation (meV/atom): -326
Final energy (eV per atom): -3.970


Entry from Alexandria via LeMat-Bulk: a relaxed structure of SrThIn2 (PBE).

The structure in CIF format:
```
data_SrThIn2
_chemical_formula_sum 'Sr1 Th1 In2'
_space_group_name_H-M_alt 'P 4/m m m'
_space_group_IT_number 123
_space_group_name_Hall '-P 4 2'
_cell_length_a 5.7646
_cell_length_b 5.7646
_cell_length_c 3.6970
_cell_angle_alpha 90.00
_cell_angle_beta 90.00
_cell_angle_gamma 90.00
loop_
_atom_site_label
_atom_site_fract_x
_atom_site_fract_y
_atom_site_fract_z
_atom_site_occupancy
Sr1 0.0000 0.0000 0.0000 1
Th1 0.5000 0.5000 0.0000 1
In1 0.0000 0.5000 0.5000 1
```

Output
M_tot (μB/cell): 0.0
Fermi-level density of states (states/eV/f.u.): 4.24
Energy of formation (meV/atom): -286
Final energy (eV per atom): -3.931